A plane-wave DFT calculation with PBE with a Hubbard U was carried out for a geometry-optimized Na2VSbO5 structure.

Unit cell a=3.2710 b=6.4262 c=11.9471 alpha=90.00 beta=90.00 gamma=104.74
With the nearest neighbours (Å) after each atom.
Atoms (fractional coordinates):
Na: 0.8299 0.6597 0.7685  5 O 2.40-2.58
Na: 0.0758 0.1517 0.6746  6 O 2.33-2.50
Na: 0.1701 0.3403 0.2685  5 O 2.40-2.58
Na: 0.9242 0.8483 0.1746  6 O 2.33-2.50
V: 0.7537 0.5073 0.5324  4 O 1.95-2.13
V: 0.2463 0.4927 0.0324  4 O 1.95-2.13
Sb: 0.5401 0.0802 0.9443  5 O 1.90-2.02
Sb: 0.4599 0.9198 0.4443  5 O 1.90-2.02
O: 0.4031 0.8062 0.0234  1 Sb 1.95, 1 V 1.95
O: 0.6995 0.3991 0.9166  1 Sb 2.01, 2 V 2.22
O: 0.4882 0.9764 0.7945  1 Sb 1.90
O: 0.2590 0.5179 0.6334  2 V 2.03
O: 0.9253 0.8506 0.5363  2 Sb 2.02, 1 V 2.13
O: 0.5969 0.1938 0.5234  1 Sb 1.95, 1 V 1.95
O: 0.3005 0.6009 0.4166  1 Sb 2.01, 2 V 2.22
O: 0.5118 0.0236 0.2945  1 Sb 1.90
O: 0.7410 0.4821 0.1334  2 V 2.03
O: 0.0747 0.1494 0.0363  2 Sb 2.02, 1 V 2.13

Values from the calculation:
Density = 4.08 Mg/m³
Density of states at the Fermi level = 1.32 states/eV/f.u.
Space-group type = No. 36
VASP energy = -53.449 eV/f.u.